VASP calculation (PBE) on an optimized crystal structure of RbYTc2.

a = 4.4899 Å, b = 4.4899 Å, c = 10.7636 Å
α = 77.96°, β = 77.96°, γ = 90.00°
Atoms (fractional coordinates):
Y1 0.0000 0.0000 0.0000
Y2 0.7500 0.2500 0.5000
Tc1 0.7486 0.1250 0.2500
Tc2 0.0014 0.6250 0.2500
Tc3 0.3750 0.2514 0.7500
Tc4 0.8750 0.9986 0.7500
Rb1 0.5000 0.5000 0.0000
Rb2 0.2500 0.7500 0.5000

Output
Mass density (g/cm3): 5.933
DFT formation energy (eV per atom): 1.388
Calculated total energy (eV per atom): -5.6529
V (A^3/atom): 25.9
DOS(E_F) (states/eV/cell): 8.22